Entry 1:
DFT (PBE) results for a geometry-optimized Li2LaTc structure.

Results
Its magnetization is 0.0000 μB/atom. For the density of states at the Fermi level, the calculation gives 2.826 states/eV per cell. As for the energy relative to the elements: 0.382 eV per atom.

Cell lengths 2.843, 4.853, 5.370 Å; angles 90.00, 90.00, 90.00 degrees
Space group Pmmm (No. 47)
Inequivalent atoms, fractional coordinates:
Li (0.000, 0.000, 0.206) x2
La (0.500, 0.500, 0.500) x1
Tc (0.500, 0.500, 0.000) x1

Entry 2:
DFT (PBE) results for a geometry-optimized Cd4AgPd3 structure.

Results
Its magnetization is 0.0000 μB/atom. For the density of states at the Fermi level, the calculation gives 5.658 states/eV per cell. As for the energy relative to the elements: -0.260 eV per atom.

Cell lengths 8.402, 5.921, 5.776 Å; angles 90.00, 90.00, 90.00 degrees
Space group Pmna (No. 53)
Inequivalent atoms, fractional coordinates:
Cd (0.000, 0.000, 0.000) x2
Cd (0.000, 0.500, 0.000) x2
Cd (0.250, 0.238, 0.250) x4
Ag (0.000, 0.500, 0.500) x2
Pd (0.000, 0.000, 0.500) x2
Pd (0.250, 0.258, 0.750) x4

Entry 3:
DFT (PBE) results for a geometry-optimized RbU3 structure.

Results
Its magnetization is 1.0264 μB/atom. For the density of states at the Fermi level, the calculation gives 13.757 states/eV per cell. As for the energy relative to the elements: 1.581 eV per atom.

Cell lengths 4.550, 4.550, 4.550 Å; angles 90.00, 90.00, 90.00 degrees
Space group Pm-3m (No. 221)
Inequivalent atoms, fractional coordinates:
Rb (0.000, 0.000, 0.000) x1
U (0.000, 0.500, 0.500) x3

Entry 4:
DFT (PBE) results for a geometry-optimized Ag2GeO structure.

Results
Its magnetization is 0.0000 μB/atom. For the density of states at the Fermi level, the calculation gives 2.482 states/eV per cell. For the uncorrected formation energy, the calculation gives 120 meV/atom.

Cell lengths 7.018, 7.018, 5.214 Å; angles 90.00, 90.00, 90.00 degrees
Space group I-42d (No. 122)
Inequivalent atoms, fractional coordinates:
Ag (0.195, 0.750, 0.125) x8
Ge (0.000, 0.000, 0.500) x4
O (0.000, 0.000, 0.000) x4

Entry 5:
DFT (PBE) results for a geometry-optimized Ce2Pm2Ge4Pt structure.

Results
Its magnetization is 0.2334 μB/atom. For the density of states at the Fermi level, the calculation gives 15.712 states/eV per cell. As for the energy relative to the elements: -0.520 eV per atom.

Cell lengths 7.287, 7.287, 8.308 Å; angles 90.00, 90.00, 90.00 degrees
Space group I4/mmm (No. 139)
Inequivalent atoms, fractional coordinates:
Ce (0.000, 0.000, 0.164) x4
Pm (0.000, 0.500, 0.250) x4
Ge (0.242, 0.242, 0.500) x8
Pt (0.000, 0.000, 0.500) x2

Entry 6:
DFT (PBE) results for a geometry-optimized AlSeBr2Cl structure.

Results
Its magnetization is 0.3066 μB/atom. For the density of states at the Fermi level, the calculation gives 4.574 states/eV per cell. For the uncorrected formation energy, the calculation gives -129 meV/atom.

Cell lengths 4.928, 4.928, 5.334 Å; angles 90.00, 90.00, 90.00 degrees
Space group P4/mmm (No. 123)
Inequivalent atoms, fractional coordinates:
Al (0.000, 0.000, 0.000) x1
Se (0.000, 0.000, 0.500) x1
Br (0.000, 0.500, 0.000) x2
Cl (0.500, 0.500, 0.500) x1

Entry 7:
DFT (PBE) results for a geometry-optimized HfNi2Ru2 structure.

Results
Its magnetization is 0.0001 μB/atom. For the density of states at the Fermi level, the calculation gives 22.355 states/eV per cell. As for the energy relative to the elements: 0.021 eV per atom.

Cell lengths 7.096, 7.096, 2.846 Å; angles 90.00, 90.00, 90.00 degrees
Space group P4/mbm (No. 127)
Inequivalent atoms, fractional coordinates:
Hf (0.000, 0.000, 0.000) x2
Ni (0.171, 0.329, 0.500) x4
Ru (0.127, 0.627, 0.000) x4

Entry 8:
DFT (PBE) results for a geometry-optimized SbTe2OsF structure.

Results
Its magnetization is 0.0000 μB/atom. For the density of states at the Fermi level, the calculation gives 7.572 states/eV per cell. For the uncorrected formation energy, the calculation gives 405 meV/atom.

Cell lengths 5.263, 5.263, 5.122 Å; angles 90.00, 90.00, 90.00 degrees
Space group P4/mmm (No. 123)
Inequivalent atoms, fractional coordinates:
Sb (0.000, 0.000, 0.000) x1
Te (0.000, 0.500, 0.500) x2
Os (0.000, 0.000, 0.500) x1
F (0.500, 0.500, 0.000) x1